# Lu2ZnTc PBEsol relaxed
data_Lu2ZnTc
_symmetry_space_group_name_H-M 'F m -3 m'
_symmetry_Int_Tables_number 225
_symmetry_space_group_name_Hall '-F 4 2 3'
_cell_length_a 6.7056
_cell_length_b 6.7056
_cell_length_c 6.7056
_cell_angle_alpha 90.00
_cell_angle_beta 90.00
_cell_angle_gamma 90.00
loop_
_atom_site_label
_atom_site_type_symbol
_atom_site_fract_x
_atom_site_fract_y
_atom_site_fract_z
_atom_site_occupancy
Lu1 Lu 0.2500 0.2500 0.2500 1
Zn1 Zn 0.0000 0.0000 0.0000 1
Tc1 Tc 0.0000 0.0000 0.5000 1
# N(E_F): 10.9 states/eV/cell
# final energy: -5.844 eV/atom
# density: 11308 kg/m³
# ΔH_f (0 K): -76 kJ/mol of formula units
# magnetization: 0.00 Bohr magnetons per cell

# LuTe3 PBEsol relaxed
data_LuTe3
_symmetry_space_group_name_H-M 'C m c m'
_symmetry_Int_Tables_number 63
_symmetry_space_group_name_Hall '-C 2c 2'
_cell_length_a 4.2469
_cell_length_b 25.1374
_cell_length_c 4.2483
_cell_angle_alpha 90.00
_cell_angle_beta 90.00
_cell_angle_gamma 90.00
loop_
_atom_site_label
_atom_site_type_symbol
_atom_site_fract_x
_atom_site_fract_y
_atom_site_fract_z
_atom_site_occupancy
Lu1 Lu 0.0000 0.1707 0.2500 1
Te1 Te 0.0000 0.0741 0.7500 1
Te2 Te 0.0000 0.2934 0.2500 1
Te3 Te 0.0000 0.4260 0.7500 1
# N(E_F): 4.6 states/eV/cell
# final energy: -4.713 eV/atom
# density: 8169 kg/m³
# magnetization: 0.00 Bohr magnetons per cell
# energy relative to the elements, uncorrected: -328 kJ/mol of formula units

# Lu7Te PBEsol relaxed
data_Lu7Te
_symmetry_space_group_name_H-M 'C m c m'
_symmetry_Int_Tables_number 63
_symmetry_space_group_name_Hall '-C 2c 2'
_cell_length_a 3.6633
_cell_length_b 11.9615
_cell_length_c 19.7567
_cell_angle_alpha 90.00
_cell_angle_beta 90.00
_cell_angle_gamma 90.00
loop_
_atom_site_label
_atom_site_type_symbol
_atom_site_fract_x
_atom_site_fract_y
_atom_site_fract_z
_atom_site_occupancy
Lu1 Lu 0.0000 0.0192 0.1106 1
Lu2 Lu 0.0000 0.2470 0.6433 1
Lu3 Lu 0.0000 0.3587 0.0121 1
Lu4 Lu 0.0000 0.4334 0.2500 1
Te1 Te 0.0000 0.1490 0.2500 1
# N(E_F): 38.6 states/eV/cell
# final energy: -5.024 eV/atom
# density: 10376 kg/m³
# magnetization: 0.00 Bohr magnetons per cell
# energy relative to the elements, uncorrected: -247 kJ/mol of formula units

# Lu8Te PBEsol relaxed
data_Lu8Te
_symmetry_space_group_name_H-M 'P -6 2 m'
_symmetry_Int_Tables_number 189
_symmetry_space_group_name_Hall 'P -6 -2'
_cell_length_a 8.8639
_cell_length_b 8.8639
_cell_length_c 3.6226
_cell_angle_alpha 90.00
_cell_angle_beta 90.00
_cell_angle_gamma 120.00
loop_
_atom_site_label
_atom_site_type_symbol
_atom_site_fract_x
_atom_site_fract_y
_atom_site_fract_z
_atom_site_occupancy
Lu1 Lu 0.0000 0.3836 0.0000 1
Lu2 Lu 0.0000 0.7212 0.5000 1
Lu3 Lu 0.3333 0.6667 0.5000 1
Te1 Te 0.0000 0.0000 0.0000 1
# N(E_F): 9.5 states/eV/cell
# final energy: -5.010 eV/atom
# density: 10289 kg/m³
# magnetization: 0.00 Bohr magnetons per cell
# energy relative to the elements, uncorrected: -250 kJ/mol of formula units

# LuTe3 PBEsol relaxed
data_LuTe3
_symmetry_space_group_name_H-M 'C m c m'
_symmetry_Int_Tables_number 63
_symmetry_space_group_name_Hall '-C 2c 2'
_cell_length_a 3.9207
_cell_length_b 27.1398
_cell_length_c 4.5121
_cell_angle_alpha 90.00
_cell_angle_beta 90.00
_cell_angle_gamma 90.00
loop_
_atom_site_label
_atom_site_type_symbol
_atom_site_fract_x
_atom_site_fract_y
_atom_site_fract_z
_atom_site_occupancy
Lu1 Lu 0.0000 0.0488 0.2500 1
Te1 Te 0.0000 0.1626 0.2500 1
Te2 Te 0.0000 0.3141 0.2500 1
Te3 Te 0.0000 0.4473 0.2500 1
# N(E_F): 7.8 states/eV/cell
# final energy: -4.393 eV/atom
# density: 7716 kg/m³
# magnetization: 0.00 Bohr magnetons per cell
# energy relative to the elements, uncorrected: -205 kJ/mol of formula units

# LuTlTe2 PBEsol relaxed
data_LuTlTe2
_symmetry_space_group_name_H-M 'R -3 m'
_symmetry_Int_Tables_number 166
_symmetry_space_group_name_Hall '-R 3 2"'
_cell_length_a 4.2891
_cell_length_b 4.2891
_cell_length_c 24.0187
_cell_angle_alpha 90.00
_cell_angle_beta 90.00
_cell_angle_gamma 120.00
loop_
_atom_site_label
_atom_site_type_symbol
_atom_site_fract_x
_atom_site_fract_y
_atom_site_fract_z
_atom_site_occupancy
Lu1 Lu 0.0000 0.0000 0.0000 1
Tl1 Tl 0.0000 0.0000 0.5000 1
Te1 Te 0.0000 0.0000 0.2622 1
# final energy: -4.606 eV/atom
# density: 8261 kg/m³
# magnetization: 0.00 Bohr magnetons per cell
# energy relative to the elements, uncorrected: -373 kJ/mol of formula units

# YLuTl2 PBEsol relaxed
data_YLuTl2
_symmetry_space_group_name_H-M 'F m -3 m'
_symmetry_Int_Tables_number 225
_symmetry_space_group_name_Hall '-F 4 2 3'
_cell_length_a 7.3897
_cell_length_b 7.3897
_cell_length_c 7.3897
_cell_angle_alpha 90.00
_cell_angle_beta 90.00
_cell_angle_gamma 90.00
loop_
_atom_site_label
_atom_site_type_symbol
_atom_site_fract_x
_atom_site_fract_y
_atom_site_fract_z
_atom_site_occupancy
Y1 Y 0.0000 0.0000 0.0000 1
Lu1 Lu 0.0000 0.0000 0.5000 1
Tl1 Tl 0.2500 0.2500 0.2500 1
# N(E_F): 13.9 states/eV/cell
# final energy: -4.636 eV/atom
# density: 11071 kg/m³
# ΔH_f (0 K): -153 kJ/mol of formula units
# magnetization: 0.00 Bohr magnetons per cell

# Lu2TlZn PBEsol relaxed
data_Lu2TlZn
_symmetry_space_group_name_H-M 'F m -3 m'
_symmetry_Int_Tables_number 225
_symmetry_space_group_name_Hall '-F 4 2 3'
_cell_length_a 7.1056
_cell_length_b 7.1056
_cell_length_c 7.1056
_cell_angle_alpha 90.00
_cell_angle_beta 90.00
_cell_angle_gamma 90.00
loop_
_atom_site_label
_atom_site_type_symbol
_atom_site_fract_x
_atom_site_fract_y
_atom_site_fract_z
_atom_site_occupancy
Lu1 Lu 0.2500 0.2500 0.2500 1
Tl1 Tl 0.0000 0.0000 0.0000 1
Zn1 Zn 0.0000 0.0000 0.5000 1
# N(E_F): 13.1 states/eV/cell
# final energy: -3.822 eV/atom
# density: 11474 kg/m³
# ΔH_f (0 K): -128 kJ/mol of formula units
# magnetization: 0.00 Bohr magnetons per cell

# Tm3Lu PBEsol relaxed
data_Tm3Lu
_symmetry_space_group_name_H-M 'P 63/m m c'
_symmetry_Int_Tables_number 194
_symmetry_space_group_name_Hall '-P 6c 2c'
_cell_length_a 6.9685
_cell_length_b 6.9685
_cell_length_c 5.4039
_cell_angle_alpha 90.00
_cell_angle_beta 90.00
_cell_angle_gamma 120.00
loop_
_atom_site_label
_atom_site_type_symbol
_atom_site_fract_x
_atom_site_fract_y
_atom_site_fract_z
_atom_site_occupancy
Tm1 Tm 0.1668 0.3336 0.2500 1
Lu1 Lu 0.3333 0.6667 0.7500 1
# N(E_F): 12.8 states/eV/cell
# final energy: -4.893 eV/atom
# density: 9963 kg/m³
# ΔH_f (0 K): 0 kJ/mol of formula units
# magnetization: 0.00 Bohr magnetons per cell

# Lu6Zn23 PBEsol relaxed
data_Lu6Zn23
_symmetry_space_group_name_H-M 'F m -3 m'
_symmetry_Int_Tables_number 225
_symmetry_space_group_name_Hall '-F 4 2 3'
_cell_length_a 12.3087
_cell_length_b 12.3087
_cell_length_c 12.3087
_cell_angle_alpha 90.00
_cell_angle_beta 90.00
_cell_angle_gamma 90.00
loop_
_atom_site_label
_atom_site_type_symbol
_atom_site_fract_x
_atom_site_fract_y
_atom_site_fract_z
_atom_site_occupancy
Lu1 Lu 0.0000 0.0000 0.2036 1
Zn1 Zn 0.0000 0.0000 0.5000 1
Zn2 Zn 0.0000 0.2500 0.2500 1
Zn3 Zn 0.1220 0.1220 0.3780 1
Zn4 Zn 0.1705 0.1705 0.1705 1
# N(E_F): 36.4 states/eV/cell
# final energy: -2.573 eV/atom
# density: 9098 kg/m³
# ΔH_f (0 K): -869 kJ/mol of formula units
# magnetization: 0.00 Bohr magnetons per cell

# LuZn PBEsol relaxed
data_LuZn
_symmetry_space_group_name_H-M 'P m -3 m'
_symmetry_Int_Tables_number 221
_symmetry_space_group_name_Hall '-P 4 2 3'
_cell_length_a 3.4304
_cell_length_b 3.4304
_cell_length_c 3.4304
_cell_angle_alpha 90.00
_cell_angle_beta 90.00
_cell_angle_gamma 90.00
loop_
_atom_site_label
_atom_site_type_symbol
_atom_site_fract_x
_atom_site_fract_y
_atom_site_fract_z
_atom_site_occupancy
Lu1 Lu 0.0000 0.0000 0.0000 1
Zn1 Zn 0.5000 0.5000 0.5000 1
# N(E_F): 1.6 states/eV/cell
# final energy: -3.588 eV/atom
# density: 9888 kg/m³
# ΔH_f (0 K): -70 kJ/mol of formula units
# magnetization: 0.00 Bohr magnetons per cell

# LuZr PBEsol relaxed
data_LuZr
_symmetry_space_group_name_H-M 'P -6 m 2'
_symmetry_Int_Tables_number 187
_symmetry_space_group_name_Hall 'P -6 2'
_cell_length_a 3.3169
_cell_length_b 3.3169
_cell_length_c 5.1807
_cell_angle_alpha 90.00
_cell_angle_beta 90.00
_cell_angle_gamma 120.00
loop_
_atom_site_label
_atom_site_type_symbol
_atom_site_fract_x
_atom_site_fract_y
_atom_site_fract_z
_atom_site_occupancy
Lu1 Lu 0.0000 0.0000 0.0000 1
Zr1 Zr 0.3333 0.6667 0.5000 1
# N(E_F): 2.9 states/eV/cell
# final energy: -6.930 eV/atom
# density: 8955 kg/m³
# ΔH_f (0 K): 10 kJ/mol of formula units
# magnetization: 0.00 Bohr magnetons per cell